No. 1
{
  "formula": "Li2ZnCl",
  "functional": "GGA-PBE",
  "state": "relaxed",
  "total_energy_ev_per_cell": -10.0,
  "magmom_total_mub_per_fu": 0.00,
  "crystal_system": "trigonal",
  "formation_energy_uncorrected_mev_per_atom": -772,
  "polymorph_energy_ev_per_atom": 0.000,
  "lattice": [[1.6622, 0.9596, 7.6953], [-1.6622, 0.9596, 7.6953], [0.0000, -1.9193, 7.6953]],
  "species": ["Li", "Li", "Zn", "Cl"],
  "frac_coords": [[0.2337, 0.2337, 0.2337], [0.7663, 0.7663, 0.7663], [0.0000, 0.0000, 0.0000], [0.5000, 0.5000, 0.5000]]
}

No. 2
{
  "formula": "Tb2AlSi4Ni3",
  "functional": "GGA-PBE",
  "state": "relaxed",
  "total_energy_ev_per_cell": -60.0,
  "magmom_total_mub_per_fu": 0.00,
  "crystal_system": "tetragonal",
  "formation_energy_uncorrected_mev_per_atom": -801,
  "lattice": [[3.9485, 0.0000, 0.0000], [0.0000, 3.9485, 0.0000], [0.0000, 0.0000, 9.9822]],
  "species": ["Tb", "Tb", "Al", "Si", "Si", "Si", "Si", "Ni", "Ni", "Ni"],
  "frac_coords": [[0.0000, 0.5000, 0.2394], [0.5000, 0.0000, 0.7606], [0.0000, 0.0000, 0.5000], [0.0000, 0.0000, 0.0000], [0.0000, 0.5000, 0.6492], [0.5000, 0.0000, 0.3508], [0.5000, 0.5000, 0.0000], [0.0000, 0.5000, 0.8788], [0.5000, 0.0000, 0.1212], [0.5000, 0.5000, 0.5000]]
}